1.
# Mg14NbBi | the Alexandria database | PBE-GGA | relaxed
# Energy relative to the elements = 0.0552 eV per atom
# Energy above the lowest structure with this stoichiometry = 16 meV per atom
# Density = 2.95 Mg/m³
data_Mg14NbBi
_chemical_formula_sum 'Mg28 Nb2 Bi2'
_cell_length_a 10.402
_cell_length_b 6.288
_cell_length_c 11.050
_cell_angle_alpha 90.00
_cell_angle_beta 90.00
_cell_angle_gamma 90.00
_symmetry_space_group_name_H-M 'A m m 2'
_symmetry_Int_Tables_number 38
loop_
_symmetry_equiv_pos_as_xyz
'x,y,z'
'-x,-y,z'
'-x,y,z'
'x,-y,z'
'x,y+1/2,z+1/2'
'-x,-y+1/2,z+1/2'
'-x,y+1/2,z+1/2'
'x,-y+1/2,z+1/2'
loop_
_atom_site_label
_atom_site_fract_x
_atom_site_fract_y
_atom_site_fract_z
_atom_site_occupancy
Mg1 0.000 0.000 0.000 1
Mg2 0.000 0.000 0.499 1
Mg3 0.000 0.248 0.250 1
Mg4 0.243 0.000 0.668 1
Mg5 0.253 0.242 0.915 1
Mg6 0.256 0.000 0.160 1
Mg7 0.500 0.249 0.249 1
Nb1 0.500 0.000 0.996 1
Bi1 0.500 0.000 0.504 1


2.
# Ca3C | the Alexandria database | PBE-GGA | relaxed
# Energy relative to the elements = 0.4461 eV per atom
# Energy above the lowest structure with this stoichiometry = 200 meV per atom
# Density = 1.37 Mg/m³
data_Ca3C
_chemical_formula_sum 'Ca12 C4'
_cell_length_a 5.031
_cell_length_b 5.031
_cell_length_c 25.331
_cell_angle_alpha 90.00
_cell_angle_beta 90.00
_cell_angle_gamma 90.00
_symmetry_space_group_name_H-M 'I 4/m m m'
_symmetry_Int_Tables_number 139
_symmetry_space_group_name_Hall '-I 4 2'
loop_
_atom_site_label
_atom_site_fract_x
_atom_site_fract_y
_atom_site_fract_z
_atom_site_occupancy
Ca1 0.000 0.000 0.130 1
Ca2 0.000 0.500 0.000 1
Ca3 0.000 0.500 0.250 1
C1 0.000 0.000 0.475 1


3.
# Dy2AlSiRh6 | the Alexandria database | PBE-GGA | relaxed
# Uncorrected formation energy = -52 kJ/mol of atoms
# Density = 9.20 Mg/m³
data_Dy2AlSiRh6
_chemical_formula_sum 'Dy8 Al4 Si4 Rh24'
_cell_length_a 8.963
_cell_length_b 8.963
_cell_length_c 8.963
_cell_angle_alpha 90.00
_cell_angle_beta 90.00
_cell_angle_gamma 90.00
_symmetry_space_group_name_H-M 'F m -3 m'
_symmetry_Int_Tables_number 225
_symmetry_space_group_name_Hall '-F 4 2 3'
loop_
_atom_site_label
_atom_site_fract_x
_atom_site_fract_y
_atom_site_fract_z
_atom_site_occupancy
Dy1 0.250 0.250 0.250 1
Al1 0.000 0.000 0.000 1
Si1 0.000 0.000 0.500 1
Rh1 0.000 0.000 0.254 1


4.
# RbSi | the Alexandria database | PBE-GGA | relaxed
# Uncorrected formation energy = 6 kJ/mol of atoms
# Energy above the lowest structure with this stoichiometry = 114 meV per atom
# Density = 2.84 Mg/m³
data_RbSi
_chemical_formula_sum 'Rb4 Si4'
_cell_length_a 3.910
_cell_length_b 5.999
_cell_length_c 11.320
_cell_angle_alpha 90.00
_cell_angle_beta 90.00
_cell_angle_gamma 90.00
_symmetry_space_group_name_H-M 'I m m a'
_symmetry_Int_Tables_number 74
_symmetry_space_group_name_Hall '-I 2b 2'
loop_
_atom_site_label
_atom_site_fract_x
_atom_site_fract_y
_atom_site_fract_z
_atom_site_occupancy
Rb1 0.000 0.250 0.090 1
Si1 0.000 0.250 0.692 1


5.
# K2BaTlI5 | the Alexandria database | PBE-GGA | relaxed
# Uncorrected formation energy = -118 kJ/mol of atoms
# Density = 3.05 Mg/m³
data_K2BaTlI5
_chemical_formula_sum 'K2 Ba1 Tl1 I5'
_cell_length_a 6.577
_cell_length_b 6.577
_cell_length_c 13.287
_cell_angle_alpha 90.00
_cell_angle_beta 90.00
_cell_angle_gamma 90.00
_symmetry_space_group_name_H-M 'P 4/m m m'
_symmetry_Int_Tables_number 123
_symmetry_space_group_name_Hall '-P 4 2'
loop_
_atom_site_label
_atom_site_fract_x
_atom_site_fract_y
_atom_site_fract_z
_atom_site_occupancy
K1 0.000 0.000 0.237 1
Ba1 0.500 0.500 0.000 1
Tl1 0.500 0.500 0.500 1
I1 0.000 0.000 0.500 1
I2 0.000 0.500 0.000 1
I3 0.500 0.500 0.255 1


6.
# Cr2CoSb | the Alexandria database | PBE-GGA | relaxed
# Uncorrected formation energy = 37 kJ/mol of atoms
# Density = 8.24 Mg/m³
data_Cr2CoSb
_chemical_formula_sum 'Cr4 Co2 Sb2'
_cell_length_a 5.327
_cell_length_b 7.155
_cell_length_c 3.009
_cell_angle_alpha 90.00
_cell_angle_beta 90.00
_cell_angle_gamma 90.00
_symmetry_space_group_name_H-M 'C m m m'
_symmetry_Int_Tables_number 65
_symmetry_space_group_name_Hall '-C 2 2'
loop_
_atom_site_label
_atom_site_fract_x
_atom_site_fract_y
_atom_site_fract_z
_atom_site_occupancy
Cr1 0.250 0.250 0.000 1
Co1 0.000 0.000 0.500 1
Sb1 0.000 0.500 0.500 1


Number 1: magnetization 1.2 μB/f.u., uncorrected energy -2.21 eV per atom. Number 2: magnetization 0.0 μB/f.u., uncorrected energy -3.36 eV per atom. Number 3: magnetization 0.0 μB/f.u., uncorrected energy -6.79 eV per atom. Number 4: magnetization 0.0 μB/f.u., uncorrected energy -3.13 eV per atom. Number 5: magnetization 0.0 μB/f.u., uncorrected energy -2.80 eV per atom. Number 6: magnetization 4.9 μB/f.u., uncorrected energy -7.24 eV per atom.